A plane-wave DFT calculation with GGA+U was carried out for a relaxed Mn3SiO crystal.

a b c (Å): 4.321 4.321 4.321
angles (deg): 90.00 90.00 90.00
Last column: magnetic moment on the atom in μB.
Positions (direct):
O: 0.000 0.000 0.000  0.19
Si: 0.500 0.500 0.500  0.05
Mn: 0.000 0.500 0.000  4.51
Mn: 0.500 0.000 0.000  4.50
Mn: 0.000 0.000 0.500  4.60

Magnetization (μB/f.u.): 14.652
Electronic total energy (eV per atom): -6.76
Energy above the lowest structure with this stoichiometry (eV/f.u.): 0.00
Space group: Pm-3m, No. 221